Record 1
Material: AlZn4Ag5
Method: DFT, PBE
State: optimized geometry

Output
The value obtained for the density of states at the Fermi level is 1.4 states/eV per cell. The value obtained for the total energy is -2.34 eV per atom. Its space group is P4/mmm. The total moment comes out at 0.00 μB per cell.

a b c (Å): 3.1668 3.1668 16.1641
angles (deg): 90.00 90.00 90.00
Last column: nearest neighbours and their distance in Å.
Element x y z (fractional)
1 Al 0.0000 0.0000 0.0000  8 Ag 2.78
2 Zn 0.0000 0.0000 0.2051  8 Ag 2.74-2.79
3 Zn 0.0000 0.0000 0.4018  8 Ag 2.75-2.76
4 Zn 0.0000 0.0000 0.5982  8 Ag 2.75-2.76
5 Zn 0.0000 0.0000 0.7949  8 Ag 2.74-2.79
6 Ag 0.5000 0.5000 0.3024  8 Zn 2.74-2.76
7 Ag 0.5000 0.5000 0.1020  4 Al 2.78, 4 Zn 2.79
8 Ag 0.5000 0.5000 0.8980  4 Al 2.78, 4 Zn 2.79
9 Ag 0.5000 0.5000 0.6976  8 Zn 2.74-2.76
10 Ag 0.5000 0.5000 0.5000  8 Zn 2.75



Record 2
Material: V3CdIn
Method: DFT, PBE
State: optimized geometry

Output
The value obtained for the density of states at the Fermi level is 11.3 states/eV per cell. Its distance to the lowest polymorph of the same formula is 0 meV per atom. Its space group is Pm-3m. The total moment comes out at 9.90 μB per cell.

a b c (Å): 5.1053 5.1053 5.1053
angles (deg): 90.00 90.00 90.00
Last column: nearest neighbours and their distance in Å.
Element x y z (fractional)
1 V 0.5000 0.0000 0.0000  2 In 2.55
2 V 0.0000 0.0000 0.5000  2 In 2.55
3 V 0.0000 0.5000 0.0000  2 In 2.55
4 Cd 0.5000 0.5000 0.5000  12 V 3.61
5 In 0.0000 0.0000 0.0000  6 V 2.55



Record 3
Material: Ac8Te4Se3N
Method: DFT, PBE
State: optimized geometry

Output
The value obtained for the density of states at the Fermi level is 7.1 states/eV per cell. Its space group is R-3m. The total moment comes out at 0.00 μB per cell. The formation energy (no corrections) is -1.5546 eV/atom.

a b c (Å): 8.9935 9.1893 8.9939
angles (deg): 119.30 120.00 90.00
Last column: nearest neighbours and their distance in Å.
Element x y z (fractional)
1 Te 0.5000 0.0000 0.0000  6 Ac 3.60
2 Te 0.5000 0.0000 0.5000  6 Ac 3.32-3.33
3 Te 0.0000 0.0000 0.0000  6 Ac 3.32-3.33
4 Te 0.0000 0.0000 0.5000  6 Ac 3.32-3.33
5 Ac 0.7795 0.2917 0.0122  1 N 2.83, 2 Se 3.15
6 Ac 0.2207 0.7085 0.4414  1 N 2.84, 2 Se 3.15
7 Ac 0.2577 0.2730 0.5153  3 Se 3.11-3.12, 3 Te 3.32
8 Ac 0.7793 0.2915 0.5586  1 N 2.84, 2 Se 3.15
9 Ac 0.2326 0.2917 0.0122  1 N 2.83, 2 Se 3.15
10 Ac 0.7674 0.7083 0.9878  1 N 2.83, 2 Se 3.15
11 Ac 0.7423 0.7270 0.4847  3 Se 3.11-3.12, 3 Te 3.32
12 Ac 0.2205 0.7083 0.9878  1 N 2.83, 2 Se 3.15
13 Se 0.0000 0.5000 0.5000  6 Ac 3.11-3.15
14 Se 0.5000 0.5000 0.5000  6 Ac 3.11-3.15
15 Se 0.5000 0.5000 0.0000  6 Ac 3.12-3.15
16 N 0.0000 0.5000 0.0000  6 Ac 2.83-2.84